No. 1
Entry from Alexandria via LeMat-Bulk: Cd12Hg16Sb after structural relaxation (GGA-PBE).

The structure in POSCAR format:
```
Cd12Hg16Sb
1.0
5.317 -8.958 0.000
5.317 8.958 0.000
-4.218 0.000 7.733
Cd Hg Sb
12 16 1
direct
0.000 0.000 0.000 Cd
0.162 0.990 0.729 Cd
0.213 0.555 0.872 Cd
0.257 0.257 0.387 Cd
0.356 0.601 0.562 Cd
0.385 0.744 0.279 Cd
0.555 0.213 0.872 Cd
0.601 0.356 0.562 Cd
0.601 0.817 0.087 Cd
0.744 0.385 0.279 Cd
0.817 0.601 0.087 Cd
0.990 0.162 0.729 Cd
0.006 0.314 0.476 Hg
0.088 0.625 0.351 Hg
0.140 0.802 0.067 Hg
0.161 0.376 0.124 Hg
0.314 0.006 0.476 Hg
0.356 0.356 0.790 Hg
0.376 0.161 0.124 Hg
0.376 0.869 0.838 Hg
0.527 0.527 0.191 Hg
0.625 0.088 0.351 Hg
0.630 0.967 0.659 Hg
0.785 0.785 0.539 Hg
0.802 0.140 0.067 Hg
0.869 0.376 0.838 Hg
0.952 0.952 0.332 Hg
0.967 0.630 0.659 Hg
0.673 0.673 0.807 Sb
```

Properties
volume: 737 Å³/f.u.
formation energy (no corrections): 27 meV/atom
crystal system: monoclinic
total DFT energy (no corrections): -19.2 eV for the cell shown
spin magnetization: 0.00 μB per formula unit
density of states at the Fermi level: 0.2662 states/eV per atom

***

No. 2
Entry from Alexandria via LeMat-Bulk: Cd12HgSb6 after structural relaxation (GGA-PBE).

The structure in POSCAR format:
```
Cd12HgSb6
1.0
6.709 3.874 3.655
-6.709 3.874 3.655
0.000 -7.747 3.655
Cd Hg Sb
12 1 6
direct
0.065 0.330 0.919 Cd
0.081 0.935 0.670 Cd
0.215 0.635 0.473 Cd
0.330 0.919 0.065 Cd
0.365 0.527 0.785 Cd
0.473 0.215 0.635 Cd
0.527 0.785 0.365 Cd
0.635 0.473 0.215 Cd
0.670 0.081 0.935 Cd
0.785 0.365 0.527 Cd
0.919 0.065 0.330 Cd
0.935 0.670 0.081 Cd
0.500 0.500 0.500 Hg
0.059 0.634 0.784 Sb
0.216 0.941 0.366 Sb
0.366 0.216 0.941 Sb
0.634 0.784 0.059 Sb
0.784 0.059 0.634 Sb
0.941 0.366 0.216 Sb
```

Properties
volume: 570 Å³/f.u.
formation energy (no corrections): 17 meV/atom
crystal system: trigonal
total DFT energy (no corrections): -35.7 eV for the cell shown
spin magnetization: 0.00 μB per formula unit
density of states at the Fermi level: 0.2888 states/eV per atom

***

No. 3
Entry from Alexandria via LeMat-Bulk: CdHgSb2 after structural relaxation (GGA-PBE).

The structure in POSCAR format:
```
CdHgSb2
1.0
3.223 -5.088 0.000
3.223 5.088 0.000
-0.820 0.000 3.192
Cd Hg Sb
1 1 2
direct
0.000 0.000 0.000 Cd
0.500 0.500 0.000 Hg
0.000 0.500 0.500 Sb
0.500 0.000 0.500 Sb
```

Properties
volume: 105 Å³/f.u.
formation energy (no corrections): 167 meV/atom
offset from the most stable computed form: 74 meV per atom
crystal system: monoclinic
total DFT energy (no corrections): -8.8 eV for the cell shown
spin magnetization: 0.00 μB per formula unit
density of states at the Fermi level: 0.5356 states/eV per atom

***

No. 4
Entry from Alexandria via LeMat-Bulk: Cd2HgSb after structural relaxation (GGA-PBE).

The structure in POSCAR format:
```
Cd2HgSb
1.0
3.975 -2.234 0.000
3.975 2.234 0.000
-2.579 0.000 6.153
Cd Hg Sb
2 1 1
direct
0.247 0.247 0.236 Cd
0.753 0.753 0.764 Cd
0.000 0.000 0.500 Hg
0.500 0.500 0.000 Sb
```

Properties
volume: 109 Å³/f.u.
formation energy (no corrections): 39 meV/atom
offset from the most stable computed form: 13 meV per atom
crystal system: monoclinic
total DFT energy (no corrections): -6.1 eV for the cell shown
spin magnetization: 0.00 μB per formula unit
density of states at the Fermi level: 0.3952 states/eV per atom

***

No. 5
Entry from Alexandria via LeMat-Bulk: Cd2HgSbSe after structural relaxation (GGA-PBE).

The structure in POSCAR format:
```
Cd2HgSbSe
1.0
5.500 0.000 0.000
0.000 5.500 0.000
0.000 0.000 5.500
Cd Hg Sb Se
2 1 1 1
direct
0.000 0.500 0.000 Cd
0.500 0.000 0.000 Cd
0.000 0.000 0.500 Hg
0.000 0.000 0.000 Sb
0.500 0.500 0.500 Se
```

Properties
volume: 166 Å³/f.u.
formation energy (no corrections): 311 meV/atom
crystal system: tetragonal
total DFT energy (no corrections): -8.2 eV for the cell shown
spin magnetization: 0.00 μB per formula unit
density of states at the Fermi level: 0.4435 states/eV per atom

***

No. 6
Entry from Alexandria via LeMat-Bulk: CdSnHgSb after structural relaxation (GGA-PBE).

The structure in POSCAR format:
```
CdSnHgSb
1.0
3.746 -2.164 0.000
3.746 2.164 0.000
-2.592 0.000 8.168
Cd Sn Hg Sb
1 1 1 1
direct
0.000 0.000 0.000 Cd
0.479 0.479 0.434 Sn
0.597 0.597 0.795 Hg
0.748 0.748 0.249 Sb
```

Properties
volume: 132 Å³/f.u.
formation energy (no corrections): 65 meV/atom
offset from the most stable computed form: 0 meV per atom
crystal system: monoclinic
total DFT energy (no corrections): -9.1 eV for the cell shown
spin magnetization: 0.00 μB per formula unit
density of states at the Fermi level: 0.3049 states/eV per atom

***

No. 7
Entry from Alexandria via LeMat-Bulk: CdSnHgSb after structural relaxation (GGA-PBE).

The structure in POSCAR format:
```
CdSnHgSb
1.0
0.000 3.755 3.755
3.755 0.000 3.755
3.755 3.755 0.000
Cd Sn Hg Sb
1 1 1 1
direct
0.000 0.000 0.000 Cd
0.500 0.500 0.500 Sn
0.250 0.250 0.250 Hg
0.750 0.750 0.750 Sb
```

Properties
volume: 106 Å³/f.u.
formation energy (no corrections): 78 meV/atom
offset from the most stable computed form: 12 meV per atom
crystal system: cubic
total DFT energy (no corrections): -9.0 eV for the cell shown
spin magnetization: 0.00 μB per formula unit
density of states at the Fermi level: 0.4372 states/eV per atom

***

No. 8
Entry from Alexandria via LeMat-Bulk: CdTcHgSb2 after structural relaxation (GGA-PBE).

The structure in POSCAR format:
```
CdTcHgSb2
1.0
5.581 0.000 0.000
0.000 5.581 0.000
0.000 0.000 5.157
Cd Tc Hg Sb
1 1 1 2
direct
0.000 0.000 0.000 Cd
0.500 0.500 0.000 Tc
0.000 0.000 0.500 Hg
0.000 0.500 0.500 Sb
0.500 0.000 0.500 Sb
```

Properties
volume: 161 Å³/f.u.
formation energy (no corrections): 1369 meV/atom
crystal system: tetragonal
total DFT energy (no corrections): -13.0 eV for the cell shown
spin magnetization: 3.72 μB per formula unit
density of states at the Fermi level: 0.8702 states/eV per atom

***

Repeat the second record exactly.
Entry from Alexandria via LeMat-Bulk: Cd12HgSb6 after structural relaxation (GGA-PBE).

The structure in POSCAR format:
```
Cd12HgSb6
1.0
6.709 3.874 3.655
-6.709 3.874 3.655
0.000 -7.747 3.655
Cd Hg Sb
12 1 6
direct
0.065 0.330 0.919 Cd
0.081 0.935 0.670 Cd
0.215 0.635 0.473 Cd
0.330 0.919 0.065 Cd
0.365 0.527 0.785 Cd
0.473 0.215 0.635 Cd
0.527 0.785 0.365 Cd
0.635 0.473 0.215 Cd
0.670 0.081 0.935 Cd
0.785 0.365 0.527 Cd
0.919 0.065 0.330 Cd
0.935 0.670 0.081 Cd
0.500 0.500 0.500 Hg
0.059 0.634 0.784 Sb
0.216 0.941 0.366 Sb
0.366 0.216 0.941 Sb
0.634 0.784 0.059 Sb
0.784 0.059 0.634 Sb
0.941 0.366 0.216 Sb
```

Properties
volume: 570 Å³/f.u.
formation energy (no corrections): 17 meV/atom
crystal system: trigonal
total DFT energy (no corrections): -35.7 eV for the cell shown
spin magnetization: 0.00 μB per formula unit
density of states at the Fermi level: 0.2888 states/eV per atom

***

Q: The highest total DFT energy (no corrections) belongs to which entry?
A: Cd2HgSb

***

Q: Number 2 is which compound?
A: Cd12HgSb6